No. 1
Density functional theory data (PBE) for crystalline NaNd2MgTe4 at its relaxed geometry.

## Properties
- total moment (μB/atom) = 0.00
- energy (eV per cell) = -34.5
- volume (Å³ per cell) = 249.8
- space-group type = P2/m

Lattice parameters (Å, degrees): 4.3938 7.8341 7.6531 71.50 90.00 90.00
Atoms (fractional coordinates):
Na: 0.5000 0.5000 0.0000
Nd: 0.0000 0.0000 0.0000
Nd: 0.5000 0.0000 0.5000
Mg: 0.0000 0.5000 0.5000
Te: 0.0000 0.7427 0.7434
Te: 0.0000 0.2573 0.2566
Te: 0.5000 0.7349 0.2623
Te: 0.5000 0.2651 0.7377

=====

No. 2
Density functional theory data (PBE) for crystalline InNi2Bi2 at its relaxed geometry.

## Properties
- total moment (μB/atom) = 0.00
- energy (eV per cell) = -20.7
- volume (Å³ per cell) = 115.0
- space-group type = I4/mmm
- formation energy from the elements (eV per formula unit) = 1.4

Lattice parameters (Å, degrees): 4.9305 4.9305 5.8764 65.20 65.20 90.00
Atoms (fractional coordinates):
Ni: 0.3754 0.3754 0.2492
Ni: 0.6246 0.6246 0.7508
Bi: 0.7500 0.2500 0.5000
Bi: 0.2500 0.7500 0.5000
In: 0.0000 0.0000 0.0000